# CsBiBr2Cl, relaxed, DFT GGA-PBE
data_CsBiBr2Cl
_symmetry_space_group_name_H-M 'P 1'
_symmetry_Int_Tables_number 1
_cell_length_a 5.9639
_cell_length_b 5.9639
_cell_length_c 5.6788
_cell_angle_alpha 90.00
_cell_angle_beta 90.00
_cell_angle_gamma 90.00
loop_
_symmetry_equiv_pos_as_xyz
'x,y,z'
loop_
_atom_site_label
_atom_site_fract_x
_atom_site_fract_y
_atom_site_fract_z
_atom_site_occupancy
Cs1 0.5000 0.5000 0.5000 1
Bi1 0.0000 0.0000 0.0000 1
Br1 0.0000 0.5000 0.0000 1
Br2 0.5000 0.0000 0.0000 1
Cl1 0.0000 0.0000 0.5000 1
# * space-group type: No. 123
# * E_form (uncorrected): -1.10 eV/atom
# * spin magnetization: 0.00 μB per formula unit
# * D(E_F): 0.76 states/eV/f.u.
# * calculated total energy: -3.09 eV/atom